A relaxed structure of NaAlGe2F. Source: the Alexandria database, functional PBE.

## Properties
Formation energy (no corrections) ... 0.782 eV/atom
Symmetry ... P4/mmm (123)

abc: 5.051 5.379 5.051
angles: 90.00 90.00 90.00
Element x y z (fractional)
Na1 0.000 0.000 0.000
Ge1 0.000 0.000 0.500
Ge2 0.500 0.000 0.000
Al1 0.000 0.500 0.000
F1 0.500 0.500 0.500

***

A relaxed structure of ReAgN2. Source: the Alexandria database, functional PBE.

## Properties
Excess energy over the best structure of this formula in the dataset ... 1261 meV per atom
Formation energy (no corrections) ... 1.627 eV/atom
Symmetry ... Fm-3m (225)

abc: 3.920 3.920 3.920
angles: 60.00 60.00 60.00
Element x y z (fractional)
Re1 0.500 0.500 0.500
Ag1 0.000 0.000 0.000
N1 0.250 0.250 0.250
N2 0.750 0.750 0.750

***

A relaxed structure of LaPr3Pb4. Source: the Alexandria database, functional PBE.

## Properties
Excess energy over the best structure of this formula in the dataset ... 0 meV per atom
Symmetry ... C2/m (12)
Calculated formation energy ... -4.3 eV/f.u.

abc: 5.182 5.181 9.932
angles: 104.99 105.01 90.05
Element x y z (fractional)
Pr1 0.000 0.500 0.000
Pr2 0.751 0.251 0.502
Pr3 0.249 0.749 0.498
Pb1 0.375 0.375 0.749
Pb2 0.625 0.625 0.251
Pb3 0.125 0.125 0.251
Pb4 0.875 0.875 0.749
La1 0.500 0.000 0.000

***

A relaxed structure of Er2ScNi9. Source: the Alexandria database, functional PBE.

## Properties
Symmetry ... R-3m (166)
Calculated formation energy ... -4.9 eV/f.u.

abc: 4.892 4.892 8.552
angles: 73.38 73.38 60.00
Element x y z (fractional)
Er1 0.862 0.862 0.413
Er2 0.138 0.138 0.587
Sc1 0.000 0.000 0.000
Ni1 0.667 0.667 0.000
Ni2 0.333 0.333 0.000
Ni3 0.500 0.500 0.500
Ni4 0.418 0.418 0.245
Ni5 0.920 0.418 0.245
Ni6 0.418 0.920 0.245
Ni7 0.582 0.582 0.755
Ni8 0.582 0.080 0.755
Ni9 0.080 0.582 0.755

***

A relaxed structure of Be2V2Cd. Source: the Alexandria database, functional PBE.

## Properties
Symmetry ... P4/mbm (127)
Calculated formation energy ... 0.8 eV/f.u.

abc: 6.397 6.397 3.064
angles: 90.00 90.00 90.00
Element x y z (fractional)
Be1 0.386 0.886 0.000
Be2 0.886 0.614 0.000
Be3 0.614 0.114 0.000
Be4 0.114 0.386 0.000
Cd1 0.000 0.000 0.000
Cd2 0.500 0.500 0.000
V1 0.174 0.674 0.500
V2 0.674 0.826 0.500
V3 0.826 0.326 0.500
V4 0.326 0.174 0.500

***

A relaxed structure of YCd8Pd4. Source: the Alexandria database, functional PBE.

## Properties
Symmetry ... I4/mmm (139)
Calculated formation energy ... -4.5 eV/f.u.

abc: 5.728 7.346 7.346
angles: 81.26 67.05 67.05
Element x y z (fractional)
Y1 0.000 0.000 0.000
Cd1 0.000 0.337 0.663
Cd2 0.000 0.663 0.337
Cd3 0.337 0.663 0.663
Cd4 0.663 0.337 0.337
Cd5 0.500 0.782 0.218
Cd6 0.500 0.218 0.782
Cd7 0.282 0.218 0.218
Cd8 0.718 0.782 0.782
Pd1 0.000 0.000 0.500
Pd2 0.500 0.000 0.500
Pd3 0.000 0.500 0.000
Pd4 0.500 0.500 0.000

***

A relaxed structure of Na5LaTl6. Source: the Alexandria database, functional PBE.

## Properties
Symmetry ... C2/m (12)
Calculated formation energy ... -1.9 eV/f.u.

abc: 5.539 7.482 9.468
angles: 113.29 106.05 90.00
Element x y z (fractional)
Na1 0.626 0.170 0.339
Na2 0.385 0.335 0.671
Na3 0.000 0.500 0.000
Na4 0.615 0.665 0.329
Na5 0.374 0.830 0.661
Tl1 0.885 0.584 0.661
Tl2 0.885 0.077 0.661
Tl3 0.500 0.747 0.000
Tl4 0.500 0.253 0.000
Tl5 0.115 0.923 0.339
Tl6 0.115 0.416 0.339
La1 0.000 0.000 0.000

***

A relaxed structure of Rb2LaPrTe4. Source: the Alexandria database, functional PBE.

## Properties
Formation energy (no corrections) ... -1.452 eV/atom
Symmetry ... P2/m (10)

abc: 4.712 8.161 8.979
angles: 107.60 90.00 90.00
Element x y z (fractional)
Rb1 0.500 0.000 0.500
Rb2 0.000 0.500 0.500
La1 0.000 0.000 0.000
Pr1 0.500 0.500 0.000
Te1 0.500 0.237 0.207
Te2 0.500 0.763 0.793
Te3 0.000 0.267 0.794
Te4 0.000 0.733 0.206

***

A relaxed structure of LaAg3Sn3. Source: the Alexandria database, functional PBE.

## Properties
Excess energy over the best structure of this formula in the dataset ... 0 meV per atom
Symmetry ... R-3 (148)
Calculated formation energy ... -1.3 eV/f.u.

abc: 6.920 6.920 9.362
angles: 68.31 68.31 60.00
Element x y z (fractional)
La1 0.307 0.307 0.078
La2 0.693 0.693 0.922
Ag1 0.592 0.761 0.580
Ag2 0.761 0.068 0.580
Ag3 0.068 0.592 0.580
Ag4 0.932 0.408 0.420
Ag5 0.239 0.932 0.420
Ag6 0.408 0.239 0.420
Sn1 0.220 0.728 0.218
Sn2 0.835 0.220 0.218
Sn3 0.728 0.835 0.218
Sn4 0.272 0.165 0.782
Sn5 0.165 0.780 0.782
Sn6 0.780 0.272 0.782

***

A relaxed structure of Er5CdFe2. Source: the Alexandria database, functional PBE.

## Properties
Symmetry ... I4/mcm (140)
Calculated formation energy ... -0.8 eV/f.u.

abc: 7.446 7.446 8.720
angles: 115.27 115.27 90.00
Element x y z (fractional)
Er1 0.538 0.694 0.732
Er2 0.806 0.962 0.268
Er3 0.000 0.000 0.000
Er4 0.500 0.500 0.000
Er5 0.194 0.038 0.732
Er6 0.694 0.194 0.732
Er7 0.038 0.538 0.732
Er8 0.306 0.806 0.268
Er9 0.962 0.462 0.268
Er10 0.462 0.306 0.268
Cd1 0.750 0.750 0.500
Cd2 0.250 0.250 0.500
Fe1 0.109 0.391 0.000
Fe2 0.609 0.109 0.000
Fe3 0.391 0.891 0.000
Fe4 0.891 0.609 0.000

***

A relaxed structure of CoP2. Source: the Alexandria database, functional PBE.

## Properties
Symmetry ... P6_3/mmc (194)
Calculated formation energy ... 1.0 eV/f.u.

abc: 4.116 4.116 5.068
angles: 90.00 90.00 120.00
Element x y z (fractional)
Co1 0.333 0.667 0.250
Co2 0.667 0.333 0.750
P1 0.000 0.000 0.000
P2 0.000 0.000 0.500
P3 0.333 0.667 0.750
P4 0.667 0.333 0.250

***

A relaxed structure of In3Sn4. Source: the Alexandria database, functional PBE.

## Properties
Symmetry ... I4/mmm (139)
Calculated formation energy ... 0.3 eV/f.u.

abc: 3.603 3.603 15.027
angles: 96.88 96.88 90.00
Element x y z (fractional)
In1 0.000 0.000 0.000
In2 0.714 0.714 0.427
In3 0.286 0.286 0.573
Sn1 0.858 0.858 0.716
Sn2 0.142 0.142 0.284
Sn3 0.572 0.572 0.144
Sn4 0.428 0.428 0.856

***

A relaxed structure of Lu4Ga12Pd. Source: the Alexandria database, functional PBE.

## Properties
Symmetry ... Im-3m (229)
Calculated formation energy ... -9.4 eV/f.u.

abc: 7.397 7.397 7.397
angles: 109.47 109.47 109.47
Element x y z (fractional)
Lu1 0.000 0.000 0.500
Lu2 0.000 0.500 0.000
Lu3 0.500 0.000 0.000
Lu4 0.500 0.500 0.500
Ga1 0.750 0.250 0.500
Ga2 0.750 0.500 0.250
Ga3 0.500 0.250 0.750
Ga4 0.250 0.500 0.750
Ga5 0.250 0.750 0.500
Ga6 0.500 0.750 0.250
Ga7 0.704 0.704 0.000
Ga8 0.296 0.000 0.296
Ga9 0.000 0.296 0.296
Ga10 0.296 0.296 0.000
Ga11 0.704 0.000 0.704
Ga12 0.000 0.704 0.704
Pd1 0.000 0.000 0.000